# ZnOsPb2 | the Alexandria database | SCAN | PBEsol geometry
# Fermi-level density of states (states/eV/cell): 4.88
# Total energy (eV/atom): -58.39
# Calculated formation energy (meV/atom): 853
# V (Å³/cell): 158.0
data_ZnOsPb2
_space_group_name_H-M_alt 'I 4/m m m'
_space_group_IT_number 139
_space_group_name_Hall '-I 4 2'
_cell_length_a 4.519
_cell_length_b 4.519
_cell_length_c 7.736
_cell_angle_alpha 90.00
_cell_angle_beta 90.00
_cell_angle_gamma 90.00
loop_
_atom_site_label
_atom_site_fract_x
_atom_site_fract_y
_atom_site_fract_z
Zn1 0.000 0.000 0.000
Os1 0.000 0.000 0.500
Pb1 0.000 0.500 0.250

# Zr2TaRu | the Alexandria database | SCAN | PBEsol geometry
# Fermi-level density of states (states/eV/cell): 3.44
# Total energy (eV/atom): -40.97
# Calculated formation energy (meV/atom): -272
# Relative energy among the computed polymorphs (meV per atom): 34
# V (Å³/cell): 73.5
data_Zr2TaRu
_space_group_name_H-M_alt 'P 4 m m'
_space_group_IT_number 99
_cell_length_a 3.176
_cell_length_b 3.176
_cell_length_c 7.288
_cell_angle_alpha 90.00
_cell_angle_beta 90.00
_cell_angle_gamma 90.00
loop_
_space_group_symop_operation_xyz
'x,y,z'
'-y,x,z'
'-x,-y,z'
'y,-x,z'
'-x,y,z'
'y,x,z'
'x,-y,z'
'-y,-x,z'
loop_
_atom_site_label
_atom_site_fract_x
_atom_site_fract_y
_atom_site_fract_z
Zr1 0.000 0.000 0.000
Zr2 0.500 0.500 0.292
Ta1 0.500 0.500 0.731
Ru1 0.000 0.000 0.527

# ErSCl | the Alexandria database | SCAN | PBEsol geometry
# Fermi-level density of states (states/eV/cell): 0.00
# Total energy (eV/atom): -25.09
# Energy relative to the elements, uncorrected (meV per atom): -2440
# V (Å³/cell): 159.2
data_ErSCl
_space_group_name_H-M_alt 'P m m n'
_space_group_IT_number 59
_cell_length_a 3.892
_cell_length_b 5.271
_cell_length_c 7.760
_cell_angle_alpha 90.00
_cell_angle_beta 90.00
_cell_angle_gamma 90.00
loop_
_space_group_symop_operation_xyz
'x,y,z'
'-x,-y,-z'
'-x+1/2,-y+1/2,z'
'x+1/2,y+1/2,-z'
'x+1/2,-y,-z'
'-x+1/2,y,z'
'-x,y+1/2,-z'
'x,-y+1/2,z'
loop_
_atom_site_label
_atom_site_fract_x
_atom_site_fract_y
_atom_site_fract_z
Er1 0.250 0.250 0.145
S1 0.250 0.750 0.095
Cl1 0.250 0.750 0.631

# Dy4Ga21Ni10 | the Alexandria database | SCAN | PBEsol geometry
# Fermi-level density of states (states/eV/cell): 19.20
# Total energy (eV/atom): -20.47
# Calculated formation energy (meV/atom): -578
# V (Å³/cell): 1036.5
data_Dy4Ga21Ni10
_space_group_name_H-M_alt 'C 1 2/m 1'
_space_group_IT_number 12
_cell_length_a 20.591
_cell_length_b 4.029
_cell_length_c 15.209
_cell_angle_alpha 90.00
_cell_angle_beta 124.76
_cell_angle_gamma 90.00
loop_
_space_group_symop_operation_xyz
'x,y,z'
'-x,-y,-z'
'-x,y,-z'
'x,-y,z'
'x+1/2,y+1/2,z'
'-x+1/2,-y+1/2,-z'
'-x+1/2,y+1/2,-z'
'x+1/2,-y+1/2,z'
loop_
_atom_site_label
_atom_site_fract_x
_atom_site_fract_y
_atom_site_fract_z
Dy1 0.120 0.000 0.333
Dy2 0.229 0.000 0.824
Ga1 0.000 0.500 0.500
Ga2 0.006 0.000 0.091
Ga3 0.040 0.500 0.368
Ga4 0.065 0.000 0.796
Ga5 0.101 0.500 0.998
Ga6 0.114 0.500 0.704
Ga7 0.117 0.000 0.553
Ga8 0.127 0.500 0.195
Ga9 0.201 0.000 0.003
Ga10 0.202 0.500 0.503
Ga11 0.248 0.000 0.294
Ni1 0.002 0.500 0.185
Ni2 0.024 0.000 0.607
Ni3 0.133 0.000 0.104
Ni4 0.153 0.500 0.889
Ni5 0.250 0.000 0.615

What is the total energy in the third record?
-25.09 eV/atom

Which of these has the highest Fermi-level density of states?
Dy4Ga21Ni10

Number 3 is which compound?
ErSCl

The highest total energy belongs to which entry?
Dy4Ga21Ni10